[1]
Density functional theory data (PBE-GGA) for a geometry-optimized PaGe6Mo5 structure.

```
data_PaGe6Mo5
_chemical_formula_sum 'Pa1 Ge6 Mo5'
_space_group_name_H-M_alt 'P 1'
_space_group_IT_number 1
_space_group_name_Hall 'P 1'
_cell_length_a 4.502
_cell_length_b 6.444
_cell_length_c 7.384
_cell_angle_alpha 82.13
_cell_angle_beta 72.53
_cell_angle_gamma 89.94
loop_
_atom_site_label
_atom_site_type_symbol
_atom_site_fract_x
_atom_site_fract_y
_atom_site_fract_z
Pa1 Pa 0.000 0.000 0.000
Ge1 Ge 0.170 0.709 0.657
Ge2 Ge 0.181 0.270 0.638
Ge3 Ge 0.476 0.281 0.048
Ge4 Ge 0.524 0.719 0.952
Ge5 Ge 0.819 0.730 0.362
Ge6 Ge 0.830 0.291 0.343
Mo1 Mo 0.000 0.500 0.000
Mo2 Mo 0.313 0.014 0.383
Mo3 Mo 0.339 0.534 0.321
Mo4 Mo 0.661 0.466 0.679
Mo5 Mo 0.687 0.986 0.617
```


[2]
Density functional theory data (PBE-GGA) for a geometry-optimized Pa2Ge4Mo3 structure.

```
data_Pa2Ge4Mo3
_chemical_formula_sum 'Pa4 Ge8 Mo6'
_space_group_name_H-M_alt 'P 1'
_space_group_IT_number 1
_space_group_name_Hall 'P 1'
_cell_length_a 7.063
_cell_length_b 7.044
_cell_length_c 7.028
_cell_angle_alpha 90.00
_cell_angle_beta 110.22
_cell_angle_gamma 90.00
loop_
_atom_site_label
_atom_site_type_symbol
_atom_site_fract_x
_atom_site_fract_y
_atom_site_fract_z
Pa1 Pa 0.190 0.167 0.051
Pa2 Pa 0.190 0.333 0.551
Pa3 Pa 0.810 0.667 0.449
Pa4 Pa 0.810 0.833 0.949
Ge1 Ge 0.097 0.552 0.864
Ge2 Ge 0.097 0.948 0.364
Ge3 Ge 0.489 0.643 0.638
Ge4 Ge 0.489 0.857 0.138
Ge5 Ge 0.511 0.143 0.862
Ge6 Ge 0.511 0.357 0.362
Ge7 Ge 0.903 0.052 0.636
Ge8 Ge 0.903 0.448 0.136
Mo1 Mo 0.241 0.649 0.257
Mo2 Mo 0.241 0.851 0.757
Mo3 Mo 0.500 0.000 0.500
Mo4 Mo 0.500 0.500 0.000
Mo5 Mo 0.759 0.149 0.243
Mo6 Mo 0.759 0.351 0.743
```


[3]
Density functional theory data (PBE-GGA) for a geometry-optimized PuPaGeMo structure.

```
data_PuPaGeMo
_chemical_formula_sum 'Pu1 Pa1 Ge1 Mo1'
_space_group_name_H-M_alt 'P 1'
_space_group_IT_number 1
_space_group_name_Hall 'P 1'
_cell_length_a 4.942
_cell_length_b 4.942
_cell_length_c 4.942
_cell_angle_alpha 60.00
_cell_angle_beta 60.00
_cell_angle_gamma 60.00
loop_
_atom_site_label
_atom_site_type_symbol
_atom_site_fract_x
_atom_site_fract_y
_atom_site_fract_z
Pu1 Pu 0.000 0.000 0.000
Pa1 Pa 0.500 0.500 0.500
Ge1 Ge 0.250 0.250 0.250
Mo1 Mo 0.750 0.750 0.750
```


[4]
Density functional theory data (PBE-GGA) for a geometry-optimized PaGe2MoRu structure.

```
data_PaGe2MoRu
_chemical_formula_sum 'Pa1 Ge2 Mo1 Ru1'
_space_group_name_H-M_alt 'P 1'
_space_group_IT_number 1
_space_group_name_Hall 'P 1'
_cell_length_a 5.898
_cell_length_b 5.898
_cell_length_c 5.898
_cell_angle_alpha 137.76
_cell_angle_beta 137.76
_cell_angle_gamma 61.27
loop_
_atom_site_label
_atom_site_type_symbol
_atom_site_fract_x
_atom_site_fract_y
_atom_site_fract_z
Pa1 Pa 0.000 0.000 0.000
Ge1 Ge 0.378 0.378 0.000
Ge2 Ge 0.622 0.622 0.000
Mo1 Mo 0.750 0.250 0.500
Ru1 Ru 0.250 0.750 0.500
```


Short version: density = 9.415, 10.531, 12.520, 10.384 Mg/m³, in the order given.
Short version: formation energy = -0.013, -0.376, 0.058, -0.295 eV/atom, in the order given.
Short version: raw total energy = -91.51, -146.68, -39.04, -40.31 eV/cell, in the order given.